Run 1
## Tl4SbTe (PBE)

Data for a relaxed Tl4SbTe crystal.

It has space group F-43m (No. 216), with a = 9.185 Å, b = 9.185 Å, c = 9.185 Å, α = 90.00°, β = 90.00° and γ = 90.00°. The distinct sites, in fractional coordinates, are Tl at (0.125, 0.125, 0.125), Sb at (0.250, 0.250, 0.750) and Te at (0.000, 0.000, 0.500).


Run 2
## Tl4SbTe (PBE)

Data for a relaxed Tl4SbTe crystal.

It has space group C2/c (No. 15), with a = 9.690 Å, b = 13.371 Å, c = 8.030 Å, α = 90.00°, β = 122.53° and γ = 90.00°. The distinct sites, in fractional coordinates, are Tl at (0.189, 0.072, 0.037), Tl at (0.196, 0.326, 0.269), Sb at (0.000, 0.125, 0.250) and Te at (0.000, 0.267, 0.750).


Most stable = run 2


Run 1
## Tl3SbTe4 (PBE)

Data for a relaxed Tl3SbTe4 crystal.

It has space group Pnma (No. 62), with a = 9.980 Å, b = 11.951 Å, c = 10.502 Å, α = 90.00°, β = 90.00° and γ = 90.00°. The distinct sites, in fractional coordinates, are Tl at (0.081, 0.250, 0.128), Tl at (0.090, 0.563, 0.314), Sb at (0.205, 0.250, 0.527), Te at (0.051, 0.750, 0.578), Te at (0.141, 0.560, 0.970) and Te at (0.162, 0.250, 0.788).


Run 2
## Tl3SbTe4 (PBE)

Data for a relaxed Tl3SbTe4 crystal.

It has space group Pmn2_1 (No. 31), with a = 10.929 Å, b = 9.066 Å, c = 6.929 Å, α = 90.00°, β = 90.00° and γ = 90.00°. The distinct sites, in fractional coordinates, are Tl at (0.000, 0.234, 0.000), Tl at (0.237, 0.801, 0.878), Sb at (0.000, 0.661, 0.259), Te at (0.000, 0.393, 0.463), Te at (0.000, 0.564, 0.858) and Te at (0.204, 0.824, 0.380).


Most stable = run 1